# Co2Se

A crystal of Co2Se relaxed with PBEsol (SCAN, Alexandria).

a b c (Å): 2.938 2.938 9.148
angles (deg): 99.24 99.24 90.00
Positions (direct):
Se: 0.750 0.250 0.500
Co: 0.072 0.072 0.145
Co: 0.928 0.928 0.855
Se: 0.500 0.500 0.000
Co: 0.322 0.822 0.645
Co: 0.178 0.678 0.355

Properties
Polymorph energy (0 for the lowest one)   0.6289 eV/atom
Mass density   8.502 g/cm³
Symmetry   I4_1/amd (141)
Formation energy (no corrections)   579 meV/atom
Size of the total moment   2.45 μB/f.u.


# CdAgBi3

A crystal of CdAgBi3 relaxed with PBEsol (SCAN, Alexandria).

a b c (Å): 5.546 5.546 5.546
angles (deg): 90.00 90.00 90.00
Positions (direct):
Ag: 0.500 0.500 0.500
Bi: 0.000 0.500 0.000
Bi: 0.500 0.000 0.000
Bi: 0.000 0.000 0.500
Cd: 0.000 0.000 0.000

Properties
Uncorrected energy   -58.6329 eV per atom
Mass density   8.248 g/cm³
Symmetry   Pm-3m (221)
Size of the total moment   0.00 μB/f.u.


# MnTcRh3

A crystal of MnTcRh3 relaxed with PBEsol (SCAN, Alexandria).

a b c (Å): 4.324 4.324 4.324
angles (deg): 90.00 90.00 90.00
Positions (direct):
Tc: 0.500 0.500 0.500
Mn: 0.000 0.000 0.000
Rh: 0.000 0.000 0.500
Rh: 0.500 0.000 0.000
Rh: 0.000 0.500 0.000

Properties
Uncorrected energy   -29.7064 eV per atom
Mass density   9.481 g/cm³
Symmetry   Pm-3m (221)
Size of the total moment   4.86 μB/f.u.


# YHNF2

A crystal of YHNF2 relaxed with PBEsol (SCAN, Alexandria).

a b c (Å): 3.464 3.464 3.742
angles (deg): 90.00 90.00 90.00
Positions (direct):
N: 0.000 0.000 0.500
H: 0.000 0.000 0.000
F: 0.000 0.500 0.000
F: 0.500 0.000 0.000
Y: 0.500 0.500 0.500

Properties
Uncorrected energy   -11.0077 eV per atom
Mass density   5.250 g/cm³
Symmetry   P4/mmm (123)
Size of the total moment   1.00 μB/f.u.


# CrRuSe2

A crystal of CrRuSe2 relaxed with PBEsol (SCAN, Alexandria).

a b c (Å): 3.442 3.260 5.888
angles (deg): 90.00 90.00 90.00
Positions (direct):
Ru: 0.500 0.500 0.761
Se: 0.500 0.500 0.342
Se: 0.000 0.000 0.912
Cr: 0.000 0.000 0.486

Properties
Polymorph energy (0 for the lowest one)   0.0000 eV/atom
Mass density   7.815 g/cm³
Symmetry   Pmm2 (25)
Formation energy (no corrections)   -234 meV/atom
Size of the total moment   3.74 μB/f.u.


# OsNClF2

A crystal of OsNClF2 relaxed with PBEsol (SCAN, Alexandria).

a b c (Å): 3.787 4.025 4.025
angles (deg): 90.00 90.00 90.00
Positions (direct):
Os: 0.000 0.000 0.000
Cl: 0.500 0.500 0.500
F: 0.000 0.000 0.500
N: 0.500 0.000 0.000
F: 0.000 0.500 0.000

Properties
Polymorph energy (0 for the lowest one)   0.0000 eV/atom
Mass density   7.514 g/cm³
Symmetry   P4/mmm (123)
Formation energy (no corrections)   -253 meV/atom
Size of the total moment   0.00 μB/f.u.


# Be5Cu3

A crystal of Be5Cu3 relaxed with PBEsol (SCAN, Alexandria).

a b c (Å): 2.645 2.645 10.311
angles (deg): 90.00 90.00 90.00
Positions (direct):
Be: 0.500 0.500 0.374
Be: 0.000 0.000 0.258
Be: 0.000 0.000 0.000
Cu: 0.000 0.000 0.500
Be: 0.500 0.500 0.626
Cu: 0.500 0.500 0.868
Be: 0.000 0.000 0.742
Cu: 0.500 0.500 0.132

Properties
Polymorph energy (0 for the lowest one)   0.0037 eV/atom
Mass density   5.426 g/cm³
Symmetry   P4/mmm (123)
Size of the total moment   0.00 μB/f.u.


# Cd2RuPt

A crystal of Cd2RuPt relaxed with PBEsol (SCAN, Alexandria).

a b c (Å): 2.800 4.845 5.067
angles (deg): 98.83 90.00 106.80
Positions (direct):
Pt: 0.000 0.000 0.500
Cd: 0.249 0.498 0.248
Ru: 0.500 0.000 0.000
Cd: 0.751 0.502 0.752

Properties
Uncorrected energy   -41.3559 eV per atom
Mass density   13.320 g/cm³
Symmetry   C2/m (12)
Size of the total moment   0.52 μB/f.u.


# TaNi2P

A crystal of TaNi2P relaxed with PBEsol (SCAN, Alexandria).

a b c (Å): 3.635 5.925 8.971
angles (deg): 90.00 90.00 90.00
Positions (direct):
Ta: 0.250 0.256 0.181
Ni: 0.250 0.167 0.471
Ta: 0.750 0.744 0.819
Ni: 0.250 0.667 0.029
P: 0.750 0.573 0.162
Ni: 0.250 0.555 0.595
Ta: 0.250 0.756 0.319
P: 0.750 0.073 0.338
P: 0.250 0.927 0.662
Ni: 0.750 0.945 0.095
Ni: 0.750 0.833 0.529
Ta: 0.750 0.244 0.681
P: 0.250 0.427 0.838
Ni: 0.250 0.055 0.905
Ni: 0.750 0.445 0.405
Ni: 0.750 0.333 0.971

Properties
Uncorrected energy   -27.9501 eV per atom
Mass density   11.321 g/cm³
Symmetry   Pnma (62)
Size of the total moment   0.00 μB/f.u.


# Tl2HgIr

A crystal of Tl2HgIr relaxed with PBEsol (SCAN, Alexandria).

a b c (Å): 4.441 4.441 5.189
angles (deg): 115.33 115.33 90.00
Positions (direct):
Ir: 0.000 0.000 0.000
Tl: 0.750 0.250 0.500
Hg: 0.500 0.500 0.000
Tl: 0.250 0.750 0.500

Properties
Uncorrected energy   -70.3576 eV per atom
Mass density   16.338 g/cm³
Symmetry   I4/mmm (139)
Size of the total moment   0.00 μB/f.u.


# TiIn2RhS

A crystal of TiIn2RhS relaxed with PBEsol (SCAN, Alexandria).

a b c (Å): 4.344 5.131 5.131
angles (deg): 90.00 90.00 90.00
Positions (direct):
S: 0.500 0.000 0.000
In: 0.000 0.500 0.000
Ti: 0.500 0.500 0.500
In: 0.000 0.000 0.500
Rh: 0.000 0.000 0.000

Properties
Mass density   5.987 g/cm³
Symmetry   P4/mmm (123)
Formation energy (no corrections)   332 meV/atom
Size of the total moment   2.31 μB/f.u.


# LiBAsBr2

A crystal of LiBAsBr2 relaxed with PBEsol (SCAN, Alexandria).

a b c (Å): 4.623 4.794 4.794
angles (deg): 90.00 90.00 90.00
Positions (direct):
Br: 0.000 0.500 0.000
Br: 0.000 0.000 0.500
B: 0.500 0.500 0.500
As: 0.500 0.000 0.000
Li: 0.000 0.000 0.000

Properties
Mass density   3.947 g/cm³
Symmetry   P4/mmm (123)
Formation energy (no corrections)   945 meV/atom
Size of the total moment   0.00 μB/f.u.